Entry 1:
CsNdMoO5: relaxed, PBE+U.

The calculation puts the total DFT energy (no corrections) at -6.91 eV/atom. As for the total magnetic moment: 0.00 μB per formula unit.

abc: 6.784 6.784 8.517
angles: 105.22 105.22 106.14
Sites, in units of the cell vectors:
Cs (0.175, 0.825, 0.750)
Cs (0.825, 0.175, 0.250)
Nd (0.500, 0.500, 0.000)
Nd (0.500, 0.500, 0.500)
Mo (0.190, 0.810, 0.250)
Mo (0.810, 0.190, 0.750)
O (0.090, 0.274, 0.891)
O (0.209, 0.636, 0.377)
O (0.274, 0.090, 0.391)
O (0.364, 0.791, 0.123)
O (0.434, 0.566, 0.750)
O (0.566, 0.434, 0.250)
O (0.636, 0.209, 0.877)
O (0.726, 0.910, 0.609)
O (0.791, 0.364, 0.623)
O (0.910, 0.726, 0.109)

***

Entry 2:
Cs2NdMoO6: relaxed, PBE+U.

The calculation puts the total DFT energy (no corrections) at -6.18 eV/atom. As for the total magnetic moment: 1.04 μB per formula unit.

abc: 6.848 6.848 6.085
angles: 90.00 90.00 120.00
Sites, in units of the cell vectors:
Cs (0.333, 0.667, 0.389)
Cs (0.667, 0.333, 0.611)
Nd (0.000, 0.000, 0.000)
Mo (0.000, 0.000, 0.500)
O (0.130, 0.259, 0.699)
O (0.130, 0.870, 0.699)
O (0.259, 0.130, 0.301)
O (0.741, 0.870, 0.699)
O (0.870, 0.130, 0.301)
O (0.870, 0.741, 0.301)